! Cs2NaPb (PBE-GGA, optimized geometry); values from VASP
&SYSTEM
  ibrav = 0, nat = 8, ntyp = 3
/
ATOMIC_SPECIES
Cs 132.91 Cs.upf
Na 22.99 Na.upf
Pb 207.20 Pb.upf
CELL_PARAMETERS angstrom
2.295 -6.206 8.113
-6.914 6.754 -4.024
-2.506 -7.840 -6.470
ATOMIC_POSITIONS crystal
Cs 0.125 0.784 0.159
Cs 0.216 0.375 0.341
Cs 0.625 0.966 0.841
Cs 0.034 0.875 0.659
Na 0.500 0.500 0.000
Na 0.750 0.250 0.500
Pb 0.000 0.000 0.000
Pb 0.250 0.750 0.500
! - D(E_F) (states/eV/f.u.) = 3.78
! - symmetry = I-42d (122)
! - formation energy from the elements (eV/atom) = 0.045

***

! LiCr3Pd12 (PBE-GGA, optimized geometry); values from VASP
&SYSTEM
  ibrav = 0, nat = 16, ntyp = 3
/
ATOMIC_SPECIES
Cr 52.00 Cr.upf
Pd 106.42 Pd.upf
Li 6.94 Li.upf
CELL_PARAMETERS angstrom
-1.641 -3.064 1.790
2.394 0.500 3.050
-10.442 9.474 6.643
ATOMIC_POSITIONS crystal
Cr 0.000 0.000 0.500
Cr 0.000 0.000 0.250
Cr 0.000 0.000 0.750
Pd 0.500 0.500 0.500
Pd 0.000 0.500 0.625
Pd 0.000 0.500 0.125
Pd 0.500 0.500 0.249
Pd 0.500 0.000 0.125
Pd 0.500 0.000 0.625
Pd 0.000 0.500 0.875
Pd 0.500 0.500 0.000
Pd 0.500 0.000 0.875
Pd 0.500 0.500 0.751
Pd 0.500 0.000 0.375
Pd 0.000 0.500 0.375
Li 0.000 0.000 0.000
! - D(E_F) (states/eV/f.u.) = 25.96
! - symmetry = P4/mmm (123)
! - formation energy from the elements (eV/atom) = -0.118

***

! ErAlNi (PBE-GGA, optimized geometry); values from VASP
&SYSTEM
  ibrav = 0, nat = 3, ntyp = 3
/
ATOMIC_SPECIES
Ni 58.69 Ni.upf
Al 26.98 Al.upf
Er 167.26 Er.upf
CELL_PARAMETERS angstrom
-0.267 0.375 3.601
-2.973 -3.023 0.095
4.092 -1.036 0.411
ATOMIC_POSITIONS crystal
Ni 0.166 0.000 0.000
Al 0.167 0.667 0.333
Er 0.667 0.333 0.667
! - D(E_F) (states/eV/f.u.) = 1.95
! - symmetry = P-6m2 (187)
! - formation energy from the elements (eV/atom) = -0.493

***

! CaPuO2 (PBE-GGA, optimized geometry); values from VASP
&SYSTEM
  ibrav = 0, nat = 4, ntyp = 3
/
ATOMIC_SPECIES
Pu 244.00 Pu.upf
O 16.00 O.upf
Ca 40.08 Ca.upf
CELL_PARAMETERS angstrom
3.387 0.000 0.000
1.693 2.933 0.000
1.693 0.978 6.063
ATOMIC_POSITIONS crystal
Pu 0.498 0.498 0.506
O 0.255 0.255 0.235
O 0.078 0.078 0.766
Ca 0.669 0.669 0.993
! - D(E_F) (states/eV/f.u.) = 8.81
! - symmetry = R3m (160)
! - relative energy among the computed polymorphs (eV/f.u.) = 0.00

***

! BePd6Pb2 (PBE-GGA, optimized geometry); values from VASP
&SYSTEM
  ibrav = 0, nat = 9, ntyp = 3
/
ATOMIC_SPECIES
Pd 106.42 Pd.upf
Be 9.01 Be.upf
Pb 207.20 Pb.upf
CELL_PARAMETERS angstrom
3.638 0.000 -0.142
0.000 7.074 0.000
-1.578 -3.537 6.454
ATOMIC_POSITIONS crystal
Pd 0.500 0.199 0.000
Pd 0.836 0.034 0.672
Pd 0.164 0.362 0.328
Pd 0.500 0.801 0.000
Pd 0.164 0.966 0.328
Pd 0.836 0.638 0.672
Be 0.000 0.000 0.000
Pb 0.356 0.355 0.710
Pb 0.644 0.645 0.290
! - D(E_F) (states/eV/f.u.) = 3.40
! - symmetry = C2/m (12)
! - formation energy from the elements (eV/atom) = -0.199

***

Number 1: calculated total energy -1.64 eV per atom, volume 77.43 Å³ per atom, spin magnetization 0.94 μB per formula unit. Number 2: calculated total energy -5.94 eV per atom, volume 14.89 Å³ per atom, spin magnetization 8.52 μB per formula unit. Number 3: calculated total energy -5.19 eV per atom, volume 18.85 Å³ per atom, spin magnetization 0.00 μB per formula unit. Number 4: calculated total energy -9.10 eV per atom, volume 15.06 Å³ per atom, spin magnetization 6.00 μB per formula unit. Number 5: calculated total energy -4.90 eV per atom, volume 18.28 Å³ per atom, spin magnetization 0.00 μB per formula unit.